Record 1
Rb2LiNiI6 | PBE-GGA | optimized geometry

Values from the calculation:
Its space group is Fm-3m, No. 225. As for the formation energy without anion corrections: -0.7837 eV per atom. The total magnetization comes out at 0.9 μB per formula unit. Its density of states at the Fermi level is 0.3381 states/eV per atom. Its final energy is -26.77 eV/cell.

Unit cell a=8.0484 b=8.0484 c=8.0512 alpha=60.01 beta=60.01 gamma=90.00
Last column: magnetic moment on the atom in μB.
Element x y z (fractional)
I: 0.2378 0.2378 0.0000  0.02
I: 0.2378 0.7622 0.0000  0.02
I: 0.7622 0.2378 0.0000  0.02
I: 0.2378 0.2378 0.5244  0.02
Ni: 0.0000 0.0000 0.0000  0.66
Rb: 0.2500 0.7500 0.5000  0.00
Rb: 0.7500 0.2500 0.5000  0.00
I: 0.7622 0.7622 0.4756  0.02
Li: 0.5000 0.5000 0.0000  0.01
I: 0.7622 0.7622 0.0000  0.02

Record 2
Li2NiSeI | PBE-GGA | optimized geometry

Values from the calculation:
Its space group is P4/mmm, No. 123. As for the formation energy without anion corrections: -0.4381 eV per atom. The total magnetization comes out at 0.0 μB per formula unit. Its density of states at the Fermi level is 0.4316 states/eV per atom. Its final energy is -16.83 eV/cell.

Unit cell a=5.4210 b=4.2025 c=5.4210 alpha=90.00 beta=90.00 gamma=90.00
Element x y z (fractional)
Li: 0.5000 0.0000 0.0000
I: 0.5000 0.5000 0.5000
Ni: 0.0000 0.0000 0.0000
Li: 0.0000 0.0000 0.5000
Se: 0.0000 0.5000 0.0000

Record 3
Li2TaNiI | PBE-GGA | optimized geometry

Values from the calculation:
Its space group is P4/mmm, No. 123. As for the formation energy without anion corrections: 1.0259 eV per atom. The total magnetization comes out at 0.0 μB per formula unit. Its density of states at the Fermi level is 0.9991 states/eV per atom. Its final energy is -17.88 eV/cell.

Unit cell a=4.3449 b=4.8215 c=4.3449 alpha=90.00 beta=90.00 gamma=90.00
Element x y z (fractional)
Li: 0.5000 0.0000 0.0000
I: 0.0000 0.5000 0.0000
Li: 0.0000 0.0000 0.5000
Ni: 0.0000 0.0000 0.0000
Ta: 0.5000 0.5000 0.5000

Record 4
LiNiTe2I | PBE-GGA | optimized geometry

Values from the calculation:
Its space group is P4/mmm, No. 123. As for the formation energy without anion corrections: -0.0161 eV per atom. The total magnetization comes out at 0.0 μB per formula unit. The energy above the most stable polymorph in this dataset is 0.0 kJ/mol of formula units. Its density of states at the Fermi level is 1.1984 states/eV per atom. Its final energy is -15.61 eV/cell.

Unit cell a=5.0288 b=5.0288 c=5.7945 alpha=90.00 beta=90.00 gamma=90.00
Element x y z (fractional)
Ni: 0.0000 0.0000 0.0000
Te: 0.0000 0.5000 0.0000
Li: 0.5000 0.5000 0.5000
Te: 0.5000 0.0000 0.0000
I: 0.0000 0.0000 0.5000

Record 5
LiVNi2I | PBE-GGA | optimized geometry

Values from the calculation:
Its space group is P4/mmm, No. 123. As for the formation energy without anion corrections: 1.0868 eV per atom. The total magnetization comes out at 0.0 μB per formula unit. Its density of states at the Fermi level is 1.9272 states/eV per atom. Its final energy is -18.71 eV/cell.

Unit cell a=4.0826 b=4.4978 c=4.0826 alpha=90.00 beta=90.00 gamma=90.00
Element x y z (fractional)
Ni: 0.5000 0.0000 0.0000
I: 0.5000 0.5000 0.5000
Ni: 0.0000 0.0000 0.5000
Li: 0.0000 0.0000 0.0000
V: 0.0000 0.5000 0.0000

Record 6
LiNiWI2 | PBE-GGA | optimized geometry

Values from the calculation:
Its space group is P4/mmm, No. 123. As for the formation energy without anion corrections: 0.8848 eV per atom. The total magnetization comes out at 3.2 μB per formula unit. Its density of states at the Fermi level is 0.5222 states/eV per atom. Its final energy is -19.32 eV/cell.

Unit cell a=5.4406 b=4.6424 c=5.4406 alpha=90.00 beta=90.00 gamma=90.00
Last column: magnetic moment on the atom in μB.
Element x y z (fractional)
W: 0.0000 0.5000 0.0000  2.23
I: 0.5000 0.0000 0.0000  0.01
Li: 0.5000 0.5000 0.5000  0.01
Ni: 0.0000 0.0000 0.0000  -0.07
I: 0.0000 0.0000 0.5000  0.02

Record 7
Li2NiWI | PBE-GGA | optimized geometry

Values from the calculation:
Its space group is P4/mmm, No. 123. As for the formation energy without anion corrections: 1.4239 eV per atom. The total magnetization comes out at 1.0 μB per formula unit. The energy above the most stable polymorph in this dataset is 59.9 kJ/mol of formula units. Its density of states at the Fermi level is 1.2660 states/eV per atom. Its final energy is -16.99 eV/cell.

Unit cell a=4.6206 b=5.1209 c=4.6206 alpha=90.00 beta=90.00 gamma=90.00
Last column: magnetic moment on the atom in μB.
Element x y z (fractional)
Li: 0.0000 0.0000 0.5000  0.00
I: 0.0000 0.0000 0.0000  0.01
Ni: 0.5000 0.5000 0.5000  0.50
W: 0.0000 0.5000 0.0000  0.46
Li: 0.5000 0.0000 0.0000  0.00

Record 8
Li2NiWI | PBE-GGA | optimized geometry

Values from the calculation:
Its space group is P4/mmm, No. 123. As for the formation energy without anion corrections: 1.6087 eV per atom. The total magnetization comes out at 2.3 μB per formula unit. The energy above the most stable polymorph in this dataset is 149.0 kJ/mol of formula units. Its density of states at the Fermi level is 1.3864 states/eV per atom. Its final energy is -16.07 eV/cell.

Unit cell a=5.0606 b=5.0300 c=5.0606 alpha=90.00 beta=90.00 gamma=90.00
Last column: magnetic moment on the atom in μB.
Element x y z (fractional)
Ni: 0.5000 0.5000 0.5000  0.73
Li: 0.0000 0.0000 0.5000  0.03
I: 0.0000 0.5000 0.0000  -0.03
W: 0.0000 0.0000 0.0000  1.27
Li: 0.5000 0.0000 0.0000  0.05

Record 9
Li2NiWI | PBE-GGA | optimized geometry

Values from the calculation:
Its space group is P4/mmm, No. 123. As for the formation energy without anion corrections: 1.2997 eV per atom. The total magnetization comes out at 4.6 μB per formula unit. The energy above the most stable polymorph in this dataset is 0.0 kJ/mol of formula units. Its density of states at the Fermi level is 0.5807 states/eV per atom. Its final energy is -17.61 eV/cell.

Unit cell a=4.8920 b=4.8139 c=4.8920 alpha=90.00 beta=90.00 gamma=90.00
Last column: magnetic moment on the atom in μB.
Element x y z (fractional)
Ni: 0.0000 0.5000 0.0000  0.05
Li: 0.0000 0.0000 0.5000  0.02
W: 0.5000 0.5000 0.5000  3.10
Li: 0.5000 0.0000 0.0000  0.01
I: 0.0000 0.0000 0.0000  0.05

Record 10
LiZn2NiI | PBE-GGA | optimized geometry

Values from the calculation:
Its space group is P4/mmm, No. 123. As for the formation energy without anion corrections: 0.6863 eV per atom. The total magnetization comes out at 0.0 μB per formula unit. Its density of states at the Fermi level is 0.8949 states/eV per atom. Its final energy is -8.36 eV/cell.

Unit cell a=4.5228 b=5.3124 c=4.5228 alpha=90.00 beta=90.00 gamma=90.00
Element x y z (fractional)
Ni: 0.5000 0.5000 0.5000
Zn: 0.5000 0.0000 0.0000
I: 0.0000 0.5000 0.0000
Zn: 0.0000 0.0000 0.5000
Li: 0.0000 0.0000 0.0000